a | NiB2F (GGA+U, relaxed); total magnetization = 0.00 μB per cell
1.0
5.214 0.000 0.000
0.000 5.214 0.000
0.000 0.000 5.214
Ni B F
4 8 4
Cartesian
0.000 0.000 0.000 Ni
0.000 2.607 2.607 Ni
2.607 0.000 2.607 Ni
2.607 2.607 0.000 Ni
1.303 1.303 1.303 B
1.303 1.303 3.910 B
1.303 3.910 1.303 B
1.303 3.910 3.910 B
3.910 1.303 1.303 B
3.910 1.303 3.910 B
3.910 3.910 1.303 B
3.910 3.910 3.910 B
0.000 0.000 2.607 F
0.000 2.607 0.000 F
2.607 0.000 0.000 F
2.607 2.607 2.607 F

b | NiB2F (GGA+U, relaxed); total magnetization = 0.00 μB per cell
1.0
4.674 0.000 0.000
0.000 4.674 0.000
0.000 0.000 7.990
Ni B F
4 8 4
Cartesian
0.000 0.000 0.000 Ni
0.000 2.337 1.998 Ni
2.337 0.000 5.993 Ni
2.337 2.337 3.995 Ni
1.064 1.168 0.999 B
1.168 3.401 2.996 B
1.168 3.610 6.992 B
1.273 1.168 4.994 B
3.401 3.505 4.994 B
3.505 1.064 6.992 B
3.505 1.273 2.996 B
3.610 3.505 0.999 B
0.000 0.000 3.995 F
0.000 2.337 5.993 F
2.337 0.000 1.998 F
2.337 2.337 0.000 F

What is the stability order? It is b, a, from most stable to least stable.